(1)
# Cd2GeBi, optimized geometry, DFT GGA-PBE
# - E above lowest polymorph (eV per atom) = 0.0151
# - total magnetization (μB per atom) = 0.00
# - calculated total energy (Ry per atom) = -0.178
# - DOS at the Fermi energy (states/eV/f.u.) = 1.11
# - DFT formation energy (meV per atom) = 153.6
data_Cd2GeBi
_chemical_formula_sum 'Cd2 Ge1 Bi1'
_cell_length_a 4.497
_cell_length_b 4.497
_cell_length_c 4.891
_cell_angle_alpha 90.00
_cell_angle_beta 90.00
_cell_angle_gamma 90.00
_symmetry_space_group_name_H-M 'P 4/m m m'
_symmetry_Int_Tables_number 123
_symmetry_space_group_name_Hall '-P 4 2'
loop_
_atom_site_label
_atom_site_type_symbol
_atom_site_fract_x
_atom_site_fract_y
_atom_site_fract_z
Cd1 Cd 0.000 0.500 0.000
Ge1 Ge 0.000 0.000 0.500
Bi1 Bi 0.500 0.500 0.500

=====

(2)
# Cd2InPb, optimized geometry, DFT GGA-PBE
# - E above lowest polymorph (eV per atom) = 0.0000
# - total magnetization (μB per atom) = 0.00
# - calculated total energy (Ry per atom) = -0.150
# - DOS at the Fermi energy (states/eV/f.u.) = 1.42
# - DFT formation energy (meV per atom) = 24.4
data_Cd2InPb
_chemical_formula_sum 'Cd6 In3 Pb3'
_cell_length_a 3.2889
_cell_length_b 3.2889
_cell_length_c 33.8507
_cell_angle_alpha 90.00
_cell_angle_beta 90.00
_cell_angle_gamma 120.00
_symmetry_space_group_name_H-M 'R -3 m'
_symmetry_Int_Tables_number 166
_symmetry_space_group_name_Hall '-R 3 2"'
loop_
_atom_site_label
_atom_site_type_symbol
_atom_site_fract_x
_atom_site_fract_y
_atom_site_fract_z
Cd1 Cd 0.0000 0.0000 0.2458
In1 In 0.0000 0.0000 0.5000
Pb1 Pb 0.0000 0.0000 0.0000

=====

(3)
# LaHo6Er5, optimized geometry, DFT GGA-PBE
# - total magnetization (μB per atom) = 0.00
# - calculated total energy (Ry per atom) = -0.336
# - DOS at the Fermi energy (states/eV/f.u.) = 16.18
# - DFT formation energy (meV per atom) = 24.1
data_LaHo6Er5
_chemical_formula_sum 'La2 Ho12 Er10'
_cell_length_a 6.124
_cell_length_b 10.601
_cell_length_c 11.731
_cell_angle_alpha 90.00
_cell_angle_beta 100.00
_cell_angle_gamma 90.00
_symmetry_space_group_name_H-M 'C 1 2/m 1'
_symmetry_Int_Tables_number 12
loop_
_symmetry_equiv_pos_as_xyz
'x,y,z'
'-x,-y,-z'
'-x,y,-z'
'x,-y,z'
'x+1/2,y+1/2,z'
'-x+1/2,-y+1/2,-z'
'-x+1/2,y+1/2,-z'
'x+1/2,-y+1/2,z'
loop_
_atom_site_label
_atom_site_type_symbol
_atom_site_fract_x
_atom_site_fract_y
_atom_site_fract_z
La1 La 0.000 0.000 0.000
Ho1 Ho 0.249 0.333 0.747
Ho2 Ho 0.249 0.500 0.253
Er1 Er 0.000 0.167 0.500
Er2 Er 0.000 0.333 0.000
Er3 Er 0.000 0.500 0.500

=====

(4)
# PPt4Pb, optimized geometry, DFT GGA-PBE
# - E above lowest polymorph (eV per atom) = 0.4724
# - total magnetization (μB per atom) = 0.00
# - calculated total energy (Ry per atom) = -0.391
# - DOS at the Fermi energy (states/eV/f.u.) = 3.08
# - DFT formation energy (meV per atom) = 227.2
data_PPt4Pb
_chemical_formula_sum 'P4 Pt16 Pb4'
_cell_length_a 7.616
_cell_length_b 7.616
_cell_length_c 7.616
_cell_angle_alpha 90.00
_cell_angle_beta 90.00
_cell_angle_gamma 90.00
_symmetry_space_group_name_H-M 'F -4 3 m'
_symmetry_Int_Tables_number 216
_symmetry_space_group_name_Hall 'F -4 2 3'
loop_
_atom_site_label
_atom_site_type_symbol
_atom_site_fract_x
_atom_site_fract_y
_atom_site_fract_z
P1 P 0.000 0.000 0.000
Pt1 Pt 0.126 0.126 0.374
Pb1 Pb 0.250 0.250 0.750

=====

(5)
# Rb2CrPd2, optimized geometry, DFT GGA-PBE
# - E above lowest polymorph (eV per atom) = 0.6443
# - total magnetization (μB per atom) = 0.03
# - calculated total energy (Ry per atom) = -0.228
# - DOS at the Fermi energy (states/eV/f.u.) = 4.95
# - DFT formation energy (meV per atom) = 1290.9
data_Rb2CrPd2
_chemical_formula_sum 'Rb4 Cr2 Pd4'
_cell_length_a 9.466
_cell_length_b 9.466
_cell_length_c 2.929
_cell_angle_alpha 90.00
_cell_angle_beta 90.00
_cell_angle_gamma 90.00
_symmetry_space_group_name_H-M 'P 4/m b m'
_symmetry_Int_Tables_number 127
_symmetry_space_group_name_Hall '-P 4 2ab'
loop_
_atom_site_label
_atom_site_type_symbol
_atom_site_fract_x
_atom_site_fract_y
_atom_site_fract_z
Rb1 Rb 0.125 0.375 0.000
Cr1 Cr 0.000 0.000 0.000
Pd1 Pd 0.180 0.680 0.500

=====

(6)
# CsReH2Cl8, optimized geometry, DFT GGA-PBE
# - total magnetization (μB per atom) = 0.17
# - calculated total energy (Ry per atom) = -0.274
# - DOS at the Fermi energy (states/eV/f.u.) = 8.57
data_CsReH2Cl8
_chemical_formula_sum 'Cs1 Re1 H2 Cl8'
_cell_length_a 6.611
_cell_length_b 6.620
_cell_length_c 9.541
_cell_angle_alpha 76.10
_cell_angle_beta 73.73
_cell_angle_gamma 73.60
_symmetry_space_group_name_H-M 'P -1'
_symmetry_Int_Tables_number 2
loop_
_symmetry_equiv_pos_as_xyz
'x,y,z'
'-x,-y,-z'
loop_
_atom_site_label
_atom_site_type_symbol
_atom_site_fract_x
_atom_site_fract_y
_atom_site_fract_z
Cs1 Cs 0.000 0.000 0.000
Re1 Re 0.000 0.000 0.500
H1 H 0.468 0.722 0.261
Cl1 Cl 0.078 0.228 0.618
Cl2 Cl 0.113 0.211 0.272
Cl3 Cl 0.353 0.790 0.484
Cl4 Cl 0.458 0.307 0.878

=====

Repeat the first record exactly.
# Cd2GeBi, optimized geometry, DFT GGA-PBE
# - E above lowest polymorph (eV per atom) = 0.0151
# - total magnetization (μB per atom) = 0.00
# - calculated total energy (Ry per atom) = -0.178
# - DOS at the Fermi energy (states/eV/f.u.) = 1.11
# - DFT formation energy (meV per atom) = 153.6
data_Cd2GeBi
_chemical_formula_sum 'Cd2 Ge1 Bi1'
_cell_length_a 4.497
_cell_length_b 4.497
_cell_length_c 4.891
_cell_angle_alpha 90.00
_cell_angle_beta 90.00
_cell_angle_gamma 90.00
_symmetry_space_group_name_H-M 'P 4/m m m'
_symmetry_Int_Tables_number 123
_symmetry_space_group_name_Hall '-P 4 2'
loop_
_atom_site_label
_atom_site_type_symbol
_atom_site_fract_x
_atom_site_fract_y
_atom_site_fract_z
Cd1 Cd 0.000 0.500 0.000
Ge1 Ge 0.000 0.000 0.500
Bi1 Bi 0.500 0.500 0.500

=====

- DOS at the Fermi energy of number 1 (Cd2GeBi)?
  1.11 states/eV/f.u.

=====

- Among the records above, which one has the highest DOS at the Fermi energy?
  LaHo6Er5

=====

- What is the total magnetization in the fifth record?
  0.03 μB per atom